# Ta4RhPb

A geometry-optimized Ta4RhPb structure (PBE, the Alexandria database).

Unit cell a=5.484 b=5.484 c=5.484 alpha=60.00 beta=60.00 gamma=60.00
Element x y z (fractional)
Ta 0.873 0.376 0.376
Ta 0.376 0.376 0.873
Ta 0.376 0.873 0.376
Ta 0.376 0.376 0.376
Rh 0.000 0.000 0.000
Pb 0.750 0.750 0.750

## Properties
Crystal system: cubic
DFT formation energy in eV per atom: 0.42
M_tot in μB/atom: 0.00
E in eV/atom: -9.32